1.
La4Rh: optimized geometry, GGA-PBE.

Unit cell a=11.264 b=11.264 c=11.264 alpha=90.00 beta=90.00 gamma=90.00
Space group Fd-3m (No. 227, origin choice 2)
Symmetry-distinct sites (fractional):
La (0.012, 0.012, 0.238)
Rh (0.125, 0.125, 0.625)

final energy	-5.450	eV/atom
DFT formation energy	-38	meV per atom
polymorph energy (0 for the lowest one)	234	meV per atom


2.
La2Rh: optimized geometry, GGA-PBE.

Unit cell a=13.971 b=13.971 c=13.971 alpha=90.00 beta=90.00 gamma=90.00
Space group Fd-3m (No. 227, origin choice 2)
Symmetry-distinct sites (fractional):
La (0.000, 0.000, 0.000)
La (0.063, 0.375, 0.875)
Rh (0.015, 0.015, 0.235)

final energy	-6.215	eV/atom
DFT formation energy	-480	meV per atom


3.
LaRh5: optimized geometry, GGA-PBE.

Unit cell a=2.858 b=2.858 c=12.008 alpha=90.00 beta=90.00 gamma=90.00
Space group P4/mmm (No. 123)
Symmetry-distinct sites (fractional):
La (0.000, 0.000, 0.000)
Rh (0.000, 0.000, 0.347)
Rh (0.500, 0.500, 0.198)
Rh (0.500, 0.500, 0.500)

final energy	-6.866	eV/atom
DFT formation energy	81	meV per atom


4.
LaRh2: optimized geometry, GGA-PBE.

Unit cell a=5.289 b=5.289 c=9.004 alpha=90.00 beta=90.00 gamma=90.00
Space group I4/mcm (No. 140)
Symmetry-distinct sites (fractional):
La (0.000, 0.000, 0.250)
Rh (0.179, 0.321, 0.000)

final energy	-7.053	eV/atom
DFT formation energy	-509	meV per atom


5.
La5Rh3: optimized geometry, GGA-PBE.

Unit cell a=8.4259 b=8.4259 c=7.0446 alpha=90.00 beta=90.00 gamma=120.00
Space group P6_3/mcm (No. 193)
Symmetry-distinct sites (fractional):
La (0.0000, 0.2529, 0.2500)
La (0.3333, 0.6667, 0.0000)
Rh (0.0000, 0.3848, 0.7500)

final energy	-6.452	eV/atom
DFT formation energy	-616	meV per atom
polymorph energy (0 for the lowest one)	34	meV per atom


6.
LaRh2: optimized geometry, GGA-PBE.

Unit cell a=4.167 b=4.167 c=26.611 alpha=90.00 beta=90.00 gamma=90.00
Space group I4_1/amd (No. 141, origin choice 2)
Symmetry-distinct sites (fractional):
La (0.000, 0.250, 0.301)
Rh (0.000, 0.250, 0.124)
Rh (0.000, 0.250, 0.795)

final energy	-7.004	eV/atom
DFT formation energy	-461	meV per atom


7.
LaRu2Rh: optimized geometry, GGA-PBE.

Unit cell a=9.438 b=3.002 c=5.158 alpha=90.00 beta=100.30 gamma=90.00
Space group C2/m (No. 12)
Symmetry-distinct sites (fractional):
La (0.000, 0.000, 0.000)
Ru (0.234, 0.000, 0.696)
Rh (0.000, 0.500, 0.500)

final energy	-7.561	eV/atom
DFT formation energy	147	meV per atom


8.
LaRuRh: optimized geometry, GGA-PBE.

Unit cell a=6.405 b=6.405 c=6.405 alpha=90.00 beta=90.00 gamma=90.00
Space group F-43m (No. 216)
Symmetry-distinct sites (fractional):
La (0.000, 0.000, 0.000)
Ru (0.250, 0.250, 0.750)
Rh (0.000, 0.000, 0.500)

final energy	-7.029	eV/atom
DFT formation energy	156	meV per atom
polymorph energy (0 for the lowest one)	349	meV per atom